# Sm2SiPPt6, optimized geometry, DFT PBE-GGA
# Formation energy without anion corrections, eV/atom: -0.978
# V, Å³ per atom: 19.3
# Total magnetization, μB/cell: 0.00
# Energy, eV/atom: -6.63
data_Sm2SiPPt6
_chemical_formula_sum 'Sm4 Si2 P2 Pt12'
_cell_length_a 5.562
_cell_length_b 8.388
_cell_length_c 8.263
_cell_angle_alpha 90.00
_cell_angle_beta 90.00
_cell_angle_gamma 90.00
_space_group_name_H-M_alt 'P m m n'
_space_group_IT_number 59
loop_
_space_group_symop_operation_xyz
'x,y,z'
'-x,-y,-z'
'-x+1/2,-y+1/2,z'
'x+1/2,y+1/2,-z'
'x+1/2,-y,-z'
'-x+1/2,y,z'
'-x,y+1/2,-z'
'x,-y+1/2,z'
loop_
_atom_site_label
_atom_site_type_symbol
_atom_site_fract_x
_atom_site_fract_y
_atom_site_fract_z
Sm1 Sm 0.250 0.004 0.231
Si1 Si 0.250 0.750 0.766
P1 P 0.250 0.250 0.766
Pt1 Pt 0.001 0.250 0.485
Pt2 Pt 0.001 0.750 0.004
Pt3 Pt 0.250 0.007 0.627

# SrLaZr2Zn, optimized geometry, DFT PBE-GGA
# V, Å³ per atom: 31.7
# Total magnetization, μB/cell: 0.00
# Energy, eV/atom: -4.52
data_SrLaZr2Zn
_chemical_formula_sum 'Sr1 La1 Zr2 Zn1'
_cell_length_a 5.266
_cell_length_b 5.266
_cell_length_c 5.718
_cell_angle_alpha 90.00
_cell_angle_beta 90.00
_cell_angle_gamma 90.00
_space_group_name_H-M_alt 'P 4/m m m'
_space_group_IT_number 123
_space_group_name_Hall '-P 4 2'
loop_
_atom_site_label
_atom_site_type_symbol
_atom_site_fract_x
_atom_site_fract_y
_atom_site_fract_z
Sr1 Sr 0.000 0.000 0.000
La1 La 0.500 0.500 0.000
Zr1 Zr 0.000 0.500 0.500
Zn1 Zn 0.500 0.500 0.500

# InGe3F, optimized geometry, DFT PBE-GGA
# Formation energy without anion corrections, eV/atom: 0.640
# V, Å³ per atom: 29.9
# Total magnetization, μB/cell: 0.00
# Energy, eV/atom: -3.05
data_InGe3F
_chemical_formula_sum 'In1 Ge3 F1'
_cell_length_a 5.309
_cell_length_b 5.309
_cell_length_c 5.309
_cell_angle_alpha 90.00
_cell_angle_beta 90.00
_cell_angle_gamma 90.00
_space_group_name_H-M_alt 'P m -3 m'
_space_group_IT_number 221
_space_group_name_Hall '-P 4 2 3'
loop_
_atom_site_label
_atom_site_type_symbol
_atom_site_fract_x
_atom_site_fract_y
_atom_site_fract_z
In1 In 0.000 0.000 0.000
Ge1 Ge 0.000 0.000 0.500
F1 F 0.500 0.500 0.500